# 1
12
Lattice="-1.032 1.779 5.130 4.956 -2.102 -1.252 2.677 7.552 -2.080" Properties=species:S:1:pos:R:3 comment="RbTe2RuO8 (GGA-PBE, relaxed)" spacegroup=P-3 dft_energy_ev_per_atom=-5.632 e_form_raw_mev_per_atom=-950 magmom_total_mub_per_cell=1.0 pbc="T T T"
O 4.486 1.280 -1.646
O 2.131 2.671 0.372
O 5.332 5.882 -0.968
O 4.471 4.558 1.425
O 1.269 1.347 2.765
O 1.396 5.306 0.184
O 2.115 5.949 3.443
O 5.205 1.923 1.614
Ru 1.339 3.776 -1.040
Te 1.857 3.003 2.309
Te 4.745 4.226 -0.511
Rb 0.000 0.000 0.000

---

# 2
19
Lattice="-0.426 2.390 -4.958 3.885 -2.948 -2.587 -3.329 -3.729 -2.343" Properties=species:S:1:pos:R:3 comment="Be17CuMo (GGA-PBE, relaxed)" formation_energy_ev_per_atom=-0.076 spacegroup=R3m dft_energy_ev_per_atom=-4.196 magmom_total_mub_per_cell=0.0 pbc="T T T"
Be 0.333 -5.380 -7.352
Be -1.120 -3.450 -2.414
Be 1.736 -2.424 -8.615
Be -1.840 -1.350 -5.202
Be 0.296 -3.995 -4.027
Be -1.581 -3.301 -4.559
Be -0.164 -0.313 -5.836
Be 1.667 -3.149 -2.508
Be -1.749 -2.801 -8.497
Be 1.942 -2.920 -4.678
Be 0.869 0.741 -4.205
Be 1.734 -0.963 -5.323
Be 2.534 -1.321 -3.289
Be 0.116 -3.843 -8.866
Be -1.286 0.508 -4.132
Be -2.407 -1.856 -3.122
Be 0.013 -0.419 -0.968
Cu 0.049 -1.637 -3.776
Mo 0.086 -2.849 -6.573

---

# 3
4
Lattice="-1.644 -3.059 -0.743 1.462 -1.485 2.876 -7.873 2.897 5.497" Properties=species:S:1:pos:R:3 comment="CePmDy2 (GGA-PBE, relaxed)" formation_energy_ev_per_atom=0.060 spacegroup=P4/mmm dft_energy_ev_per_atom=-4.912 magmom_total_mub_per_cell=0.6 pbc="T T T"
Ce -0.091 -2.272 1.067
Dy -1.899 0.699 1.326
Dy -5.974 2.198 4.171
Pm -4.028 -0.823 3.815

---

# 4
5
Lattice="-1.974 4.140 -4.369 -0.618 -4.713 -4.187 -5.987 -0.879 1.872" Properties=species:S:1:pos:R:3 comment="CsLa3Pb (GGA-PBE, relaxed)" formation_energy_ev_per_atom=0.285 spacegroup=Pm-3m dft_energy_ev_per_atom=-3.584 magmom_total_mub_per_cell=0.0 pbc="T T T"
La -0.987 2.070 -2.185
La -2.994 -0.439 0.936
La -0.309 -2.357 -2.093
Pb 0.000 0.000 0.000
Cs -4.289 -0.726 -3.342